1.
The following is a PBE calculation of crystalline NdPaTaN3 at its relaxed geometry, from Alexandria.

a b c (Å): 7.313 3.386 8.030
angles (deg): 90.00 93.66 90.00
Space group P2_1/m (No. 11)
One atom of each set of equivalent atoms:
Nd (0.137, 0.250, 0.167) (multiplicity 2)
Pa (0.371, 0.750, 0.835) (multiplicity 2)
Ta (0.132, 0.250, 0.570) (multiplicity 2)
N (0.137, 0.250, 0.845) (multiplicity 2)
N (0.176, 0.750, 0.427) (multiplicity 2)
N (0.407, 0.750, 0.108) (multiplicity 2)

Properties
* total moment: 0.01 μB/cell
* VASP energy: -57.61 eV/f.u.
* density of states at the Fermi level: 5.563 states/eV per cell

2.
The following is a PBE calculation of crystalline Nd3Pa3TaN8 at its relaxed geometry, from Alexandria.

a b c (Å): 6.9388 6.9388 17.3914
angles (deg): 90.00 90.00 120.00
Space group R-3m (No. 166, hexagonal axes)
One atom of each set of equivalent atoms:
Nd (0.0000, 0.5000, 0.0000) (multiplicity 9)
Pa (0.0000, 0.5000, 0.5000) (multiplicity 9)
Ta (0.0000, 0.0000, 0.5000) (multiplicity 3)
N (0.0000, 0.0000, 0.2385) (multiplicity 6)
N (0.0239, 0.5120, 0.2319) (multiplicity 18)

Properties
* total moment: 0.00 μB/cell
* VASP energy: -142.90 eV/f.u.
* density of states at the Fermi level: 17.998 states/eV per cell

3.
The following is a PBE calculation of crystalline TbNd2PaN4 at its relaxed geometry, from Alexandria.

a b c (Å): 6.130 3.575 6.212
angles (deg): 90.00 109.09 90.00
Space group P2/m (No. 10)
One atom of each set of equivalent atoms:
Tb (0.000, 0.000, 0.000) (multiplicity 1)
Nd (0.000, 0.500, 0.500) (multiplicity 1)
Nd (0.500, 0.000, 0.500) (multiplicity 1)
Pa (0.500, 0.500, 0.000) (multiplicity 1)
N (0.258, 0.500, 0.224) (multiplicity 2)
N (0.270, 0.000, 0.780) (multiplicity 2)

Properties
* total moment: 0.00 μB/cell
* VASP energy: -69.54 eV/f.u.
* density of states at the Fermi level: 3.540 states/eV per cell

4.
The following is a PBE calculation of crystalline TbNdPa2N4 at its relaxed geometry, from Alexandria.

a b c (Å): 6.116 3.537 6.144
angles (deg): 90.00 109.57 90.00
Space group P2/m (No. 10)
One atom of each set of equivalent atoms:
Tb (0.000, 0.000, 0.000) (multiplicity 1)
Nd (0.000, 0.500, 0.500) (multiplicity 1)
Pa (0.500, 0.000, 0.500) (multiplicity 1)
Pa (0.500, 0.500, 0.000) (multiplicity 1)
N (0.274, 0.500, 0.251) (multiplicity 2)
N (0.280, 0.000, 0.768) (multiplicity 2)

Properties
* total moment: 0.00 μB/cell
* VASP energy: -74.55 eV/f.u.
* density of states at the Fermi level: 3.778 states/eV per cell

5.
The following is a PBE calculation of crystalline Tb2NdPaN4 at its relaxed geometry, from Alexandria.

a b c (Å): 6.082 3.546 6.132
angles (deg): 90.00 109.24 90.00
Space group P2/m (No. 10)
One atom of each set of equivalent atoms:
Tb (0.000, 0.000, 0.000) (multiplicity 1)
Tb (0.000, 0.500, 0.500) (multiplicity 1)
Nd (0.500, 0.000, 0.500) (multiplicity 1)
Pa (0.500, 0.500, 0.000) (multiplicity 1)
N (0.255, 0.500, 0.228) (multiplicity 2)
N (0.258, 0.000, 0.767) (multiplicity 2)

Properties
* total moment: 0.00 μB/cell
* VASP energy: -69.65 eV/f.u.
* density of states at the Fermi level: 3.768 states/eV per cell

6.
The following is a PBE calculation of crystalline TbNdPaN3 at its relaxed geometry, from Alexandria.

a b c (Å): 6.057 3.537 9.161
angles (deg): 90.00 102.07 90.00
Space group P2_1/m (No. 11)
One atom of each set of equivalent atoms:
Tb (0.145, 0.250, 0.137) (multiplicity 2)
Nd (0.345, 0.250, 0.811) (multiplicity 2)
Pa (0.235, 0.750, 0.454) (multiplicity 2)
N (0.034, 0.750, 0.637) (multiplicity 2)
N (0.247, 0.750, 0.992) (multiplicity 2)
N (0.454, 0.250, 0.356) (multiplicity 2)

Properties
* total moment: 0.00 μB/cell
* VASP energy: -52.58 eV/f.u.
* density of states at the Fermi level: 3.226 states/eV per cell

7.
The following is a PBE calculation of crystalline NdPaTcN4 at its relaxed geometry, from Alexandria.

a b c (Å): 3.864 3.864 12.491
angles (deg): 90.00 90.00 90.00
Space group I4mm (No. 107)
One atom of each set of equivalent atoms:
Nd (0.000, 0.000, 0.000) (multiplicity 2)
Pa (0.000, 0.000, 0.709) (multiplicity 2)
Tc (0.000, 0.000, 0.350) (multiplicity 2)
N (0.000, 0.000, 0.183) (multiplicity 2)
N (0.000, 0.000, 0.540) (multiplicity 2)
N (0.000, 0.500, 0.348) (multiplicity 4)

Properties
* total moment: 0.00 μB/cell
* VASP energy: -64.81 eV/f.u.
* density of states at the Fermi level: 6.612 states/eV per cell

8.
The following is a PBE calculation of crystalline Nd2PaTe2N2 at its relaxed geometry, from Alexandria.

a b c (Å): 4.444 4.444 16.689
angles (deg): 90.00 90.00 90.00
Space group I4/mmm (No. 139)
One atom of each set of equivalent atoms:
Nd (0.000, 0.000, 0.106) (multiplicity 4)
Pa (0.000, 0.000, 0.500) (multiplicity 2)
Te (0.000, 0.000, 0.315) (multiplicity 4)
N (0.000, 0.500, 0.000) (multiplicity 4)

Properties
* total moment: 0.00 μB/cell
* VASP energy: -51.63 eV/f.u.
* density of states at the Fermi level: 8.710 states/eV per cell

9.
The following is a PBE calculation of crystalline NdPaTeN2 at its relaxed geometry, from Alexandria.

a b c (Å): 4.024 4.024 12.844
angles (deg): 90.00 90.00 90.00
Space group I4mm (No. 107)
One atom of each set of equivalent atoms:
Nd (0.000, 0.000, 0.000) (multiplicity 2)
Pa (0.000, 0.000, 0.326) (multiplicity 2)
Te (0.000, 0.000, 0.662) (multiplicity 2)
N (0.000, 0.500, 0.397) (multiplicity 4)

Properties
* total moment: 0.00 μB/cell
* VASP energy: -42.40 eV/f.u.

10.
The following is a PBE calculation of crystalline Nd2ThPaN4 at its relaxed geometry, from Alexandria.

a b c (Å): 6.251 3.616 6.279
angles (deg): 90.00 109.39 90.00
Space group P2/m (No. 10)
One atom of each set of equivalent atoms:
Nd (0.000, 0.000, 0.000) (multiplicity 1)
Nd (0.000, 0.500, 0.500) (multiplicity 1)
Th (0.500, 0.000, 0.500) (multiplicity 1)
Pa (0.500, 0.500, 0.000) (multiplicity 1)
N (0.277, 0.500, 0.241) (multiplicity 2)
N (0.283, 0.000, 0.776) (multiplicity 2)

Properties
* total moment: 0.00 μB/cell
* VASP energy: -72.14 eV/f.u.
* density of states at the Fermi level: 3.948 states/eV per cell

11.
The following is a PBE calculation of crystalline NdTh2PaN4 at its relaxed geometry, from Alexandria.

a b c (Å): 6.245 3.612 6.276
angles (deg): 90.00 109.34 90.00
Space group P2/m (No. 10)
One atom of each set of equivalent atoms:
Nd (0.000, 0.000, 0.000) (multiplicity 1)
Th (0.000, 0.500, 0.500) (multiplicity 1)
Th (0.500, 0.000, 0.500) (multiplicity 1)
Pa (0.500, 0.500, 0.000) (multiplicity 1)
N (0.273, 0.500, 0.243) (multiplicity 2)
N (0.275, 0.000, 0.771) (multiplicity 2)

Properties
* total moment: 0.00 μB/cell
* VASP energy: -74.82 eV/f.u.
* density of states at the Fermi level: 3.142 states/eV per cell

Please write out number 2 again, unchanged.
The following is a PBE calculation of crystalline Nd3Pa3TaN8 at its relaxed geometry, from Alexandria.

a b c (Å): 6.9388 6.9388 17.3914
angles (deg): 90.00 90.00 120.00
Space group R-3m (No. 166, hexagonal axes)
One atom of each set of equivalent atoms:
Nd (0.0000, 0.5000, 0.0000) (multiplicity 9)
Pa (0.0000, 0.5000, 0.5000) (multiplicity 9)
Ta (0.0000, 0.0000, 0.5000) (multiplicity 3)
N (0.0000, 0.0000, 0.2385) (multiplicity 6)
N (0.0239, 0.5120, 0.2319) (multiplicity 18)

Properties
* total moment: 0.00 μB/cell
* VASP energy: -142.90 eV/f.u.
* density of states at the Fermi level: 17.998 states/eV per cell